The following is a PBE calculation of an optimized crystal structure of TaBeTc2, from Alexandria.

Output
Formation energy in meV/atom: -57
Total DFT energy (no corrections) in eV/atom: -9.14

a = 8.5559 Å, b = 3.0972 Å, c = 4.5798 Å
α = 90.00°, β = 110.25°, γ = 90.00°
Closest atoms and distances in Å follow each position.
Space group C2/m (No. 12)
Symmetry-distinct sites (fractional):
Ta: 0.0000 0.0000 0.0000  6 Tc 2.70-2.72, 4 Be 2.76
Be: 0.0000 0.5000 0.5000  4 Tc 2.44
Tc: 0.2315 0.0000 0.7149  2 Be 2.44, 2 Tc 2.61, 3 Ta 2.70-2.72

=====

The following is a PBE calculation of an optimized crystal structure of Ta3BeTc, from Alexandria.

Output
Formation energy in meV/atom: 662
Relative energy among the computed polymorphs in meV per atom: 0.0
Total DFT energy (no corrections) in eV/atom: -9.27

a = 4.3718 Å, b = 4.3718 Å, c = 4.3718 Å
α = 90.00°, β = 90.00°, γ = 90.00°
Closest atoms and distances in Å follow each position.
Space group Pm-3m (No. 221)
Symmetry-distinct sites (fractional):
Ta: 0.0000 0.0000 0.5000  2 Be 2.19
Be: 0.0000 0.0000 0.0000  6 Ta 2.19
Tc: 0.5000 0.5000 0.5000  12 Ta 3.09

=====

The following is a PBE calculation of an optimized crystal structure of TaBeTc2, from Alexandria.

Output
Formation energy in meV/atom: -43
Total DFT energy (no corrections) in eV/atom: -9.12

a = 3.1961 Å, b = 4.4855 Å, c = 7.8548 Å
α = 90.00°, β = 90.00°, γ = 90.00°
Closest atoms and distances in Å follow each position.
Space group Cmmm (No. 65)
Symmetry-distinct sites (fractional):
Ta: 0.0000 0.0000 0.0000  4 Tc 2.72, 4 Ta 2.75
Be: 0.0000 0.0000 0.5000  4 Tc 2.36
Tc: 0.0000 0.5000 0.2795  2 Be 2.36

=====

The following is a PBE calculation of an optimized crystal structure of Ta2BeTc, from Alexandria.

Output
Formation energy in meV/atom: 160
Total DFT energy (no corrections) in eV/atom: -9.29

a = 3.0363 Å, b = 3.0363 Å, c = 23.0227 Å
α = 90.00°, β = 90.00°, γ = 120.00°
Closest atoms and distances in Å follow each position.
Space group R-3m (No. 166, hexagonal axes)
Symmetry-distinct sites (fractional):
Ta: 0.0000 0.0000 0.2409  3 Be 2.45
Be: 0.0000 0.0000 0.5000  6 Ta 2.45
Tc: 0.0000 0.0000 0.0000  6 Ta 2.76, 6 Tc 3.04

=====

The following is a PBE calculation of an optimized crystal structure of Ta2BeTc, from Alexandria.

Output
Formation energy in meV/atom: -151
Total DFT energy (no corrections) in eV/atom: -9.60

a = 3.1782 Å, b = 3.1782 Å, c = 5.9684 Å
α = 90.00°, β = 90.00°, γ = 90.00°
Closest atoms and distances in Å follow each position.
Space group P4/mmm (No. 123)
Symmetry-distinct sites (fractional):
Ta: 0.0000 0.0000 0.2393  4 Be 2.66, 4 Tc 2.73, 1 Ta 2.86
Be: 0.5000 0.5000 0.0000  8 Ta 2.66
Tc: 0.5000 0.5000 0.5000  8 Ta 2.73, 2 Be 2.98

=====

The following is a PBE calculation of an optimized crystal structure of TaBeTc2, from Alexandria.

Output
Formation energy in meV/atom: -35
Total DFT energy (no corrections) in eV/atom: -9.11

a = 3.1103 Å, b = 4.5442 Å, c = 8.0775 Å
α = 90.00°, β = 90.00°, γ = 90.00°
Closest atoms and distances in Å follow each position.
Space group Immm (No. 71)
Symmetry-distinct sites (fractional):
Ta: 0.0000 0.0000 0.0000  4 Tc 2.62, 4 Be 2.75
Be: 0.0000 0.0000 0.5000  4 Tc 2.48, 4 Ta 2.75
Tc: 0.0000 0.5000 0.2390  2 Be 2.48, 2 Ta 2.62, 4 Tc 2.76